*A*
The following is a DFT calculation (GGA-PBEsol) of a relaxed structure of Ta2IrCl.

As for the total magnetization: 0.0 μB/cell.

The structure belongs to space group R-3m (No. 166, hexagonal axes); the cell edges are 2.8856, 2.8856 and 26.2320 Å and the angles 90.00°, 90.00° and 120.00°. Symmetry generates all atoms from Ta at (0.0000, 0.0000, 0.2484), Ir at (0.0000, 0.0000, 0.0000) and Cl at (0.0000, 0.0000, 0.5000).

=====

*B*
The following is a DFT calculation (GGA-PBEsol) of a relaxed structure of Ta2IrCl.

As for the total magnetization: 0.0 μB/cell.

The structure belongs to space group P4/mmm (No. 123); the cell edges are 4.813, 4.813 and 2.828 Å and the angles 90.00°, 90.00° and 90.00°. Symmetry generates all atoms from Ta at (0.000, 0.500, 0.000), Ir at (0.000, 0.000, 0.500) and Cl at (0.500, 0.500, 0.000).

=====

Stability check: which of them is most stable? *A*.

=====

*A*
The following is a DFT calculation (GGA-PBEsol) of a relaxed structure of Tc2IrCl.

As for the total magnetization: 0.0 μB/cell.

The structure belongs to space group C2/m (No. 12); the cell edges are 5.125, 8.095 and 2.763 Å and the angles 90.00°, 90.23° and 90.00°. Symmetry generates all atoms from Tc at (0.250, 0.250, 0.000), Ir at (0.000, 0.000, 0.500) and Cl at (0.000, 0.500, 0.500).

=====

*B*
The following is a DFT calculation (GGA-PBEsol) of a relaxed structure of Tc2IrCl.

As for the total magnetization: 0.0 μB/cell.

The structure belongs to space group P4/mmm (No. 123); the cell edges are 4.514, 4.514 and 2.767 Å and the angles 90.00°, 90.00° and 90.00°. Symmetry generates all atoms from Tc at (0.000, 0.500, 0.000), Ir at (0.000, 0.000, 0.500) and Cl at (0.500, 0.500, 0.500).

=====

Stability check: which of them is most stable? *B*.